## A
Compound: Pr2Te2Br
Source: the Alexandria database
Functional: GGA-PBE
Structure: relaxed

The structure belongs to space group C2/m (No. 12); the cell edges are 14.243, 6.354 and 8.770 Å and the angles 90.00°, 111.62° and 90.00°. The distinct sites, in fractional coordinates, are Pr at (0.002, 0.000, 0.243), Pr at (0.162, 0.500, 0.081), Te at (0.010, 0.500, 0.272), Te at (0.180, 0.000, 0.108) and Br at (0.154, 0.000, 0.595).

## B
Compound: Pr2Te2Br
Source: the Alexandria database
Functional: GGA-PBE
Structure: relaxed

The structure belongs to space group Immm (No. 71); the cell edges are 4.403, 6.286 and 13.118 Å and the angles 90.00°, 90.00° and 90.00°. The distinct sites, in fractional coordinates, are Pr at (0.000, 0.000, 0.173), Te at (0.000, 0.500, 0.155) and Br at (0.000, 0.500, 0.500).

Computed energies relative to the best structure, in meV/atom: A 0; B 109

## A
Compound: Pr2TmBr
Source: the Alexandria database
Functional: GGA-PBE
Structure: relaxed

The structure belongs to space group R-3m (No. 166, hexagonal axes); the cell edges are 3.7169, 3.7169 and 31.9621 Å and the angles 90.00°, 90.00° and 120.00°. The distinct sites, in fractional coordinates, are Pr at (0.0000, 0.0000, 0.2433), Tm at (0.0000, 0.0000, 0.0000) and Br at (0.0000, 0.0000, 0.5000).

## B
Compound: Pr2TmBr
Source: the Alexandria database
Functional: GGA-PBE
Structure: relaxed

The structure belongs to space group P4/mmm (No. 123); the cell edges are 3.607, 3.607 and 9.699 Å and the angles 90.00°, 90.00° and 90.00°. The distinct sites, in fractional coordinates, are Pr at (0.000, 0.000, 0.235), Tm at (0.500, 0.500, 0.500) and Br at (0.500, 0.500, 0.000).

Computed energies relative to the best structure, in meV/atom: A 0; B 67

## A
Compound: PrYBr3
Source: the Alexandria database
Functional: GGA-PBE
Structure: relaxed

The structure belongs to space group C2/m (No. 12); the cell edges are 18.359, 3.978 and 11.665 Å and the angles 90.00°, 123.51° and 90.00°. The distinct sites, in fractional coordinates, are Pr at (0.139, 0.000, 0.287), Y at (0.073, 0.500, 0.958), Br at (0.038, 0.000, 0.751), Br at (0.163, 0.500, 0.509) and Br at (0.212, 0.000, 0.114).

## B
Compound: PrYBr3
Source: the Alexandria database
Functional: GGA-PBE
Structure: relaxed

The structure belongs to space group C2/c (No. 15); the cell edges are 15.599, 13.616 and 7.054 Å and the angles 90.00°, 114.48° and 90.00°. The distinct sites, in fractional coordinates, are Pr at (0.000, 0.002, 0.250), Pr at (0.000, 0.366, 0.750), Y at (0.216, 0.043, 0.198), Br at (0.060, 0.178, 0.050), Br at (0.106, 0.442, 0.195) and Br at (0.168, 0.288, 0.711).

Computed energies relative to the best structure, in meV/atom: A 0; B 210

## A
Compound: PrYBr2
Source: the Alexandria database
Functional: GGA-PBE
Structure: relaxed

The structure belongs to space group R-3m (No. 166, hexagonal axes); the cell edges are 3.7625, 3.7625 and 30.4177 Å and the angles 90.00°, 90.00° and 120.00°. The distinct sites, in fractional coordinates, are Pr at (0.0000, 0.0000, 0.0000), Y at (0.0000, 0.0000, 0.5000) and Br at (0.0000, 0.0000, 0.4058).

## B
Compound: PrYBr2
Source: the Alexandria database
Functional: GGA-PBE
Structure: relaxed

The structure belongs to space group R3m (No. 160, hexagonal axes); the cell edges are 3.6641, 3.6641 and 28.1453 Å and the angles 90.00°, 90.00° and 120.00°. The distinct sites, in fractional coordinates, are Pr at (0.0000, 0.0000, 0.0000), Y at (0.0000, 0.0000, 0.8361), Br at (0.0000, 0.0000, 0.2498) and Br at (0.0000, 0.0000, 0.4200).

Computed energies relative to the best structure, in meV/atom: A 0; B 5

## A
Compound: Pr2ZnBr
Source: the Alexandria database
Functional: GGA-PBE
Structure: relaxed

The structure belongs to space group R-3m (No. 166, hexagonal axes); the cell edges are 4.2007, 4.2007 and 22.8533 Å and the angles 90.00°, 90.00° and 120.00°. The distinct sites, in fractional coordinates, are Pr at (0.0000, 0.0000, 0.2451), Zn at (0.0000, 0.0000, 0.5000) and Br at (0.0000, 0.0000, 0.0000).

## B
Compound: Pr2ZnBr
Source: the Alexandria database
Functional: GGA-PBE
Structure: relaxed

The structure belongs to space group P4/mmm (No. 123); the cell edges are 3.603, 3.603 and 8.314 Å and the angles 90.00°, 90.00° and 90.00°. The distinct sites, in fractional coordinates, are Pr at (0.000, 0.000, 0.226), Zn at (0.500, 0.500, 0.000) and Br at (0.500, 0.500, 0.500).

Computed energies relative to the best structure, in meV/atom: A 0; B 34

## A
Compound: Pt3Br4
Source: the Alexandria database
Functional: GGA-PBE
Structure: relaxed

The structure belongs to space group P6/mmm (No. 191); the cell edges are 5.7875, 5.7875 and 5.0506 Å and the angles 90.00°, 90.00° and 120.00°. The distinct sites, in fractional coordinates, are Pt at (0.0000, 0.5000, 0.0000), Br at (0.0000, 0.0000, 0.2516) and Br at (0.3333, 0.6667, 0.5000).

## B
Compound: Pt3Br4
Source: the Alexandria database
Functional: GGA-PBE
Structure: relaxed

The structure belongs to space group I4/mmm (No. 139); the cell edges are 3.286, 3.286 and 30.636 Å and the angles 90.00°, 90.00° and 90.00°. The distinct sites, in fractional coordinates, are Pt at (0.000, 0.000, 0.000), Pt at (0.000, 0.000, 0.274), Br at (0.000, 0.000, 0.170) and Br at (0.000, 0.000, 0.446).

Computed energies relative to the best structure, in meV/atom: A 311; B 0

## A
Compound: Pt3Br2
Source: the Alexandria database
Functional: GGA-PBE
Structure: relaxed

The structure belongs to space group P-3m1 (No. 164); the cell edges are 3.4238, 3.4238 and 9.5195 Å and the angles 90.00°, 90.00° and 120.00°. The distinct sites, in fractional coordinates, are Pt at (0.0000, 0.0000, 0.0000), Pt at (0.3333, 0.6667, 0.4086) and Br at (0.3333, 0.6667, 0.8025).

## B
Compound: Pt3Br2
Source: the Alexandria database
Functional: GGA-PBE
Structure: relaxed

The structure belongs to space group Fdd2 (No. 43); the cell edges are 8.976, 13.290 and 7.186 Å and the angles 90.00°, 90.00° and 90.00°. The distinct sites, in fractional coordinates, are Pt at (0.000, 0.000, 0.000), Pt at (0.103, 0.078, 0.315) and Br at (0.061, 0.291, 0.990).

Computed energies relative to the best structure, in meV/atom: A 261; B 0

## A
Compound: PtBr5
Source: the Alexandria database
Functional: GGA-PBE
Structure: relaxed

The structure belongs to space group P4/mmm (No. 123); the cell edges are 2.988, 2.988 and 20.387 Å and the angles 90.00°, 90.00° and 90.00°. The distinct sites, in fractional coordinates, are Pt at (0.000, 0.000, 0.000), Br at (0.000, 0.000, 0.294), Br at (0.500, 0.500, 0.098) and Br at (0.500, 0.500, 0.500).

## B
Compound: PtBr5
Source: the Alexandria database
Functional: GGA-PBE
Structure: relaxed

The structure belongs to space group Cm (No. 8); the cell edges are 13.107, 3.690 and 9.978 Å and the angles 90.00°, 109.82° and 90.00°. The distinct sites, in fractional coordinates, are Pt at (0.000, 0.000, 0.000), Br at (0.098, 0.500, 0.933), Br at (0.156, 0.500, 0.501), Br at (0.323, 0.000, 0.501), Br at (0.402, 0.000, 0.067) and Br at (0.489, 0.500, 0.501).

## C
Compound: PtBr5
Source: the Alexandria database
Functional: GGA-PBE
Structure: relaxed

The structure belongs to space group P6/mmm (No. 191); the cell edges are 5.3536, 5.3536 and 8.6551 Å and the angles 90.00°, 90.00° and 120.00°. The distinct sites, in fractional coordinates, are Pt at (0.0000, 0.0000, 0.0000), Br at (0.0000, 0.5000, 0.5000) and Br at (0.3333, 0.6667, 0.0000).

## D
Compound: PtBr5
Source: the Alexandria database
Functional: GGA-PBE
Structure: relaxed

The structure belongs to space group F-43m (No. 216); the cell edges are 8.581, 8.581 and 8.581 Å and the angles 90.00°, 90.00° and 90.00°. The distinct sites, in fractional coordinates, are Pt at (0.000, 0.000, 0.000), Br at (0.125, 0.125, 0.375) and Br at (0.250, 0.250, 0.750).

Computed energies relative to the best structure, in meV/atom: A 453; B 0; C 633; D 1079

## A
Compound: Pt5Br
Source: the Alexandria database
Functional: GGA-PBE
Structure: relaxed

The structure belongs to space group P-62m (No. 189); the cell edges are 4.8845, 4.8845 and 4.8226 Å and the angles 90.00°, 90.00° and 120.00°. The distinct sites, in fractional coordinates, are Pt at (0.0000, 0.6516, 0.0000), Pt at (0.3333, 0.6667, 0.5000) and Br at (0.0000, 0.0000, 0.5000).

## B
Compound: Pt5Br
Source: the Alexandria database
Functional: GGA-PBE
Structure: relaxed

The structure belongs to space group P4/mmm (No. 123); the cell edges are 2.973, 2.973 and 11.505 Å and the angles 90.00°, 90.00° and 90.00°. The distinct sites, in fractional coordinates, are Pt at (0.000, 0.000, 0.000), Pt at (0.000, 0.000, 0.311), Pt at (0.500, 0.500, 0.154) and Br at (0.500, 0.500, 0.500).

## C
Compound: Pt5Br
Source: the Alexandria database
Functional: GGA-PBE
Structure: relaxed

The structure belongs to space group C2/m (No. 12); the cell edges are 11.456, 2.794 and 6.813 Å and the angles 90.00°, 111.00° and 90.00°. The distinct sites, in fractional coordinates, are Pt at (0.000, 0.000, 0.000), Pt at (0.160, 0.500, 0.846), Pt at (0.184, 0.500, 0.319) and Br at (0.000, 0.000, 0.500).

## D
Compound: Pt5Br
Source: the Alexandria database
Functional: GGA-PBE
Structure: relaxed

The structure belongs to space group Cmmm (No. 65); the cell edges are 4.792, 15.292 and 2.780 Å and the angles 90.00°, 90.00° and 90.00°. The distinct sites, in fractional coordinates, are Pt at (0.000, 0.000, 0.000), Pt at (0.000, 0.160, 0.500), Pt at (0.000, 0.317, 0.000) and Br at (0.000, 0.500, 0.500).

Computed energies relative to the best structure, in meV/atom: A 119; B 0; C 17; D 49

## A
Compound: Pt4Br3
Source: the Alexandria database
Functional: GGA-PBE
Structure: relaxed

The structure belongs to space group P6/mmm (No. 191); the cell edges are 6.5087, 6.5087 and 4.5061 Å and the angles 90.00°, 90.00° and 120.00°. The distinct sites, in fractional coordinates, are Pt at (0.0000, 0.0000, 0.2489), Pt at (0.3333, 0.6667, 0.0000) and Br at (0.0000, 0.5000, 0.5000).

## B
Compound: Pt4Br3
Source: the Alexandria database
Functional: GGA-PBE
Structure: relaxed

The structure belongs to space group I4/mmm (No. 139); the cell edges are 3.228, 3.228 and 27.551 Å and the angles 90.00°, 90.00° and 90.00°. The distinct sites, in fractional coordinates, are Pt at (0.000, 0.000, 0.069), Pt at (0.000, 0.000, 0.376), Br at (0.000, 0.000, 0.187) and Br at (0.000, 0.000, 0.500).

Computed energies relative to the best structure, in meV/atom: A 770; B 0

## A
Compound: Pu2PtBr
Source: the Alexandria database
Functional: GGA-PBE
Structure: relaxed

The structure belongs to space group R3m (No. 160, hexagonal axes); the cell edges are 3.9849, 3.9849 and 23.9756 Å and the angles 90.00°, 90.00° and 120.00°. The distinct sites, in fractional coordinates, are Pu at (0.0000, 0.0000, 0.0000), Pu at (0.0000, 0.0000, 0.1931), Pt at (0.0000, 0.0000, 0.5967) and Br at (0.0000, 0.0000, 0.4292).

## B
Compound: Pu2PtBr
Source: the Alexandria database
Functional: GGA-PBE
Structure: relaxed

The structure belongs to space group R-3m (No. 166, hexagonal axes); the cell edges are 4.0690, 4.0690 and 23.2059 Å and the angles 90.00°, 90.00° and 120.00°. The distinct sites, in fractional coordinates, are Pu at (0.0000, 0.0000, 0.2356), Pt at (0.0000, 0.0000, 0.5000) and Br at (0.0000, 0.0000, 0.0000).

## C
Compound: Pu2PtBr
Source: the Alexandria database
Functional: GGA-PBE
Structure: relaxed

The structure belongs to space group P4/mmm (No. 123); the cell edges are 3.487, 3.487 and 7.930 Å and the angles 90.00°, 90.00° and 90.00°. The distinct sites, in fractional coordinates, are Pu at (0.000, 0.000, 0.218), Pt at (0.500, 0.500, 0.000) and Br at (0.500, 0.500, 0.500).

Computed energies relative to the best structure, in meV/atom: A 36; B 0; C 28